# 1
Entry from Alexandria: a geometry-optimized CeHo2Au structure (PBE-GGA).

a b c (Å): 3.6656 3.6656 29.8681
angles (deg): 90.00 90.00 120.00
Space group R3m (No. 160, hexagonal axes)
Inequivalent atoms, fractional coordinates:
Ce (0.0000, 0.0000, 0.0000) [3 per cell]
Ho (0.0000, 0.0000, 0.2369) [3 per cell]
Ho (0.0000, 0.0000, 0.4313) [3 per cell]
Au (0.0000, 0.0000, 0.8347) [3 per cell]

## Properties
Formation enthalpy at 0 K   -0.2256 eV per atom
Size of the total moment   1.6 μB/f.u.
Crystal system   trigonal

***

# 2
Entry from Alexandria: a geometry-optimized HfTe2WN structure (PBE-GGA).

a b c (Å): 5.6408 5.6408 3.9096
angles (deg): 90.00 90.00 90.00
Space group P4/mmm (No. 123)
Inequivalent atoms, fractional coordinates:
Hf (0.0000, 0.0000, 0.0000) [1 per cell]
Te (0.0000, 0.5000, 0.0000) [2 per cell]
W (0.5000, 0.5000, 0.5000) [1 per cell]
N (0.0000, 0.0000, 0.5000) [1 per cell]

## Properties
ΔE_f (raw)   0.85 eV per atom
Size of the total moment   3.3 μB/f.u.
Crystal system   tetragonal

***

# 3
Entry from Alexandria: a geometry-optimized Nb2CuPt structure (PBE-GGA).

a b c (Å): 6.4113 6.4113 6.4113
angles (deg): 90.00 90.00 90.00
Space group Fm-3m (No. 225)
Inequivalent atoms, fractional coordinates:
Nb (0.2500, 0.2500, 0.2500) [8 per cell]
Cu (0.0000, 0.0000, 0.0000) [4 per cell]
Pt (0.0000, 0.0000, 0.5000) [4 per cell]

## Properties
Formation enthalpy at 0 K   -0.0468 eV per atom
Size of the total moment   0.0 μB/f.u.
Crystal system   cubic

***

> Which of these has the lowest size of the total moment?

Nb2CuPt